Computed, not measured: UPa3Se4 after structural relaxation at the GGA-PBE level of DFT.

Results
E_form (uncorrected)   -1.159 eV/atom
Calculated volume   23.7 Å³/atom

Unit cell a=8.5579 b=11.5048 c=3.8507 alpha=90.00 beta=90.00 gamma=90.00
Space group Cmmm (No. 65)
Symmetry-distinct sites (fractional):
U 0.0000 0.0000 0.0000 (multiplicity 2)
Pa 0.0000 0.5000 0.0000 (multiplicity 2)
Pa 0.2500 0.2500 0.5000 (multiplicity 4)
Se 0.0000 0.2491 0.0000 (multiplicity 4)
Se 0.2484 0.0000 0.5000 (multiplicity 4)

***

Computed, not measured: UPaSe2 after structural relaxation at the GGA-PBE level of DFT.

Results
E_form (uncorrected)   -1.110 eV/atom
Calculated volume   23.6 Å³/atom

Unit cell a=6.7714 b=3.9140 c=7.4850 alpha=90.00 beta=107.60 gamma=90.00
Space group C2/m (No. 12)
Symmetry-distinct sites (fractional):
U 0.0000 0.0000 0.0000 (multiplicity 2)
Pa 0.0000 0.5000 0.5000 (multiplicity 2)
Se 0.2490 0.5000 0.2471 (multiplicity 4)

***

Computed, not measured: U3Pa2Se8 after structural relaxation at the GGA-PBE level of DFT.

Results
E_form (uncorrected)   -1.099 eV/atom
Calculated volume   29.3 Å³/atom

Unit cell a=14.5125 b=8.0370 c=6.8040 alpha=90.00 beta=106.21 gamma=90.00
Space group C2/m (No. 12)
Symmetry-distinct sites (fractional):
U 0.0000 0.0000 0.0000 (multiplicity 2)
U 0.0000 0.2454 0.5000 (multiplicity 4)
Pa 0.2471 0.0000 0.8262 (multiplicity 4)
Se 0.1139 0.5000 0.3972 (multiplicity 4)
Se 0.1234 0.2561 0.9118 (multiplicity 8)
Se 0.1286 0.0000 0.4109 (multiplicity 4)